# 1
KCaIn (GGA-PBE, relaxed); energy above the most stable polymorph in this dataset = 51 meV per atom; final energy = -6.19 eV/cell; density of states at the Fermi level = 1.34 states/eV per cell; ΔH_f (0 K) = -34 kJ/mol of formula units; magnetization = 0.0 μB per cell; theoretical density = 2.66 Mg/m³
1.0
-3.863 0.924 -6.684
0.021 0.188 -7.773
-1.047 -3.785 -1.176
Ca In K
1 1 1
direct
0.957 0.957 0.043 Ca
0.358 0.358 0.642 In
0.685 0.685 0.315 K



# 2
KCa2In (GGA-PBE, relaxed); final energy = -14.23 eV/cell; density of states at the Fermi level = 5.59 states/eV per cell; ΔH_f (0 K) = 70 kJ/mol of formula units; magnetization = 0.0 μB per cell; theoretical density = 2.40 Mg/m³
1.0
5.164 0.000 0.000
0.000 5.164 0.000
2.582 2.582 12.157
Ca K In
4 2 2
direct
0.650 0.125 0.250 Ca
0.100 0.625 0.250 Ca
0.375 0.350 0.750 Ca
0.875 0.900 0.750 Ca
0.500 0.500 0.000 K
0.250 0.750 0.500 K
0.000 0.000 0.000 In
0.750 0.250 0.500 In



# 3
K2CaIn (GGA-PBE, relaxed); final energy = -6.79 eV/cell; density of states at the Fermi level = 2.99 states/eV per cell; ΔH_f (0 K) = 14 kJ/mol of formula units; magnetization = 1.0 μB per cell; theoretical density = 2.42 Mg/m³
1.0
-4.487 1.749 3.728
-0.219 -2.120 5.705
1.199 3.713 4.676
Ca In K
1 1 2
direct
0.500 0.500 0.500 Ca
0.750 0.750 0.750 In
0.000 0.000 0.000 K
0.250 0.250 0.250 K



# 4
KCaMg2In (GGA-PBE, relaxed); final energy = -5.49 eV/cell; density of states at the Fermi level = 6.16 states/eV per cell; ΔH_f (0 K) = 341 kJ/mol of formula units; magnetization = 0.0 μB per cell; theoretical density = 1.99 Mg/m³
1.0
5.811 0.000 0.000
0.000 5.991 0.000
0.000 0.000 5.811
Mg Ca K In
2 1 1 1
direct
0.000 0.000 0.500 Mg
0.500 0.000 0.000 Mg
0.500 0.500 0.500 Ca
0.000 0.000 0.000 K
0.000 0.500 0.000 In



The highest theoretical density belongs to which entry?
KCaIn



Look up the final energy of the third one.
-6.79 eV/cell